No. 1
Here is crystalline NdTmTh2Se4 at its relaxed geometry from Alexandria. Energies are from PBE-GGA.

Cell lengths 4.1066, 7.0520, 7.4506 Å; angles 108.65, 90.00, 90.00 degrees
Element x y z (fractional)
Tm  0.5000  0.5000  0.0000
Se  0.5000  0.7437  0.7591
Th  0.0000  0.5000  0.5000
Nd  0.0000  0.0000  0.0000
Se  0.0000  0.7361  0.2349
Se  0.0000  0.2639  0.7651
Th  0.5000  0.0000  0.5000
Se  0.5000  0.2563  0.2409

Summary:
As for the space group: P2/m, No. 10. The final energy is -51.03 eV/cell. Its theoretical density is 8.9 Mg/m³. Its uncorrected formation energy is -1.63 eV/atom.

No. 2
Here is crystalline Nd3TmTh4Se8 at its relaxed geometry from Alexandria. Energies are from PBE-GGA.

Cell lengths 8.2575, 8.5049, 8.2565 Å; angles 119.03, 120.00, 90.00 degrees
Element x y z (fractional)
Se  0.2428  0.7415  0.9988
Nd  0.0000  0.5000  0.5000
Th  0.0000  0.0000  0.0000
Th  0.5000  0.0000  0.5000
Se  0.7493  0.7477  0.4985
Nd  0.5000  0.5000  0.5000
Th  0.5000  0.0000  0.0000
Se  0.7572  0.2585  0.0012
Se  0.2507  0.2523  0.5015
Se  0.7572  0.2585  0.5145
Th  0.0000  0.0000  0.5000
Se  0.2440  0.2585  0.0012
Nd  0.5000  0.5000  0.0000
Se  0.7560  0.7415  0.9988
Tm  0.0000  0.5000  0.0000
Se  0.2428  0.7415  0.4855

Summary:
As for the space group: R-3m, No. 166. The final energy is -102.85 eV/cell. Its theoretical density is 8.6 Mg/m³. Its uncorrected formation energy is -1.66 eV/atom.

No. 3
Here is crystalline Nd2TmThSe4 at its relaxed geometry from Alexandria. Energies are from PBE-GGA.

Cell lengths 4.1268, 7.3148, 7.2068 Å; angles 108.93, 90.00, 90.00 degrees
Element x y z (fractional)
Se  0.5000  0.2361  0.2358
Se  0.0000  0.2424  0.7567
Nd  0.0000  0.5000  0.5000
Se  0.5000  0.7639  0.7642
Se  0.0000  0.7576  0.2433
Tm  0.0000  0.0000  0.0000
Nd  0.5000  0.0000  0.5000
Th  0.5000  0.5000  0.0000

Summary:
As for the space group: P2/m, No. 10. The final energy is -49.03 eV/cell. Its theoretical density is 8.1 Mg/m³. Its uncorrected formation energy is -1.71 eV/atom.